VASP calculation (PBE) on Zr2CrAg2S6 after structural relaxation.

```
data_Zr2CrAg2S6
_chemical_formula_sum 'Zr4 Cr2 Ag4 S12'
_cell_length_a 6.1835
_cell_length_b 10.8423
_cell_length_c 7.6322
_cell_angle_alpha 90.00
_cell_angle_beta 97.61
_cell_angle_gamma 90.00
_symmetry_space_group_name_H-M 'C 1 2/m 1'
_symmetry_Int_Tables_number 12
loop_
_symmetry_equiv_pos_as_xyz
'x,y,z'
'-x,-y,-z'
'-x,y,-z'
'x,-y,z'
'x+1/2,y+1/2,z'
'-x+1/2,-y+1/2,-z'
'-x+1/2,y+1/2,-z'
'x+1/2,-y+1/2,z'
loop_
_atom_site_label
_atom_site_type_symbol
_atom_site_fract_x
_atom_site_fract_y
_atom_site_fract_z
Zr1 Zr 0.0000 0.1599 0.0000
Cr1 Cr 0.0000 0.5000 0.0000
Ag1 Ag 0.0000 0.3570 0.5000
S1 S 0.1220 0.3426 0.8099
S2 S 0.1542 0.0000 0.8070
```

Output
E_form (uncorrected) = -978 kJ/mol of formula units
DOS at the Fermi energy = 0.224 states/eV/atom
size of the total moment = 0.18 μB/atom
density = 4.2 g cm⁻³